1.
16
Lattice="13.149 0.000 0.000 0.000 7.765 0.000 -4.130 0.000 7.069" Properties=species:S:1:pos:R:3 comment="Cs3MgTl4 | Alexandria | GGA-PBE | optimized geometry" relative_energy_mev_per_atom=11 mass_density_g_cm3=5.7 n_ef_per_ev_fu=5.41 e_form_kj_per_mol_atoms=-2.1 pbc="T T T"
Cs 0.000 0.000 0.000
Cs 0.143 6.138 4.164
Cs 2.302 2.255 2.905
Cs 6.575 3.883 0.000
Cs 6.718 2.255 4.164
Cs 8.876 6.138 2.905
Mg -2.065 2.369 3.534
Mg 4.510 6.252 3.534
Tl -2.896 3.946 6.060
Tl -0.616 1.689 6.112
Tl 3.061 5.572 0.956
Tl 5.341 0.064 1.009
Tl 3.678 0.064 6.060
Tl 5.959 5.572 6.112
Tl 9.636 1.689 0.956
Tl 11.916 3.946 1.009


2.
30
Lattice="12.174 -4.129 0.000 12.174 4.129 0.000 -8.784 0.000 12.093" Properties=species:S:1:pos:R:3 comment="CsHgBr3 | Alexandria | GGA-PBE | optimized geometry" mass_density_g_cm3=4.7 e_form_raw_kj_per_mol_atoms=-98.0 n_ef_per_ev_fu=0.00 pbc="T T T"
Cs 6.087 2.064 0.000
Cs 2.770 2.210 9.965
Cs 8.401 2.210 8.175
Cs 1.695 -2.064 6.047
Cs 7.162 -2.210 3.918
Cs 12.793 -2.210 2.128
Hg 4.443 2.185 5.164
Hg 9.978 2.101 3.023
Hg 15.512 2.185 0.882
Hg 0.051 -2.185 11.211
Hg 5.586 -2.101 9.070
Hg 11.120 -2.185 6.929
Br 1.695 2.064 6.047
Br -6.411 0.179 11.322
Br -2.019 -0.179 5.276
Br -0.645 0.619 9.084
Br 7.502 1.650 3.375
Br 3.747 -0.619 3.037
Br 5.409 0.240 6.511
Br 12.453 1.650 2.671
Br 9.801 -0.240 0.465
Br 6.087 -2.064 0.000
Br 5.762 0.240 11.628
Br 3.110 -1.650 9.422
Br 10.154 -0.240 5.582
Br 11.816 0.619 9.056
Br 8.061 -1.650 8.718
Br 16.208 -0.619 3.009
Br 17.583 0.179 6.817
Br 21.975 -0.179 0.771


3.
8
Lattice="8.519 0.000 0.000 0.000 4.915 0.000 -2.813 0.000 8.372" Properties=species:S:1:pos:R:3 comment="K2MnPb | Alexandria | GGA-PBE | optimized geometry" mass_density_g_cm3=3.2 n_ef_per_ev_fu=1.56 e_form_kj_per_mol_atoms=22.5 pbc="T T T"
K 0.000 0.000 0.000
K 0.001 0.000 4.668
K 4.259 2.457 0.000
K 4.261 2.457 4.668
Mn 2.841 0.000 2.333
Mn 7.100 2.457 2.333
Pb 1.420 2.457 2.338
Pb 5.680 0.000 2.338